Ce3ZrIr8 | GGA-PBE | relaxed

- Electronic total energy: -8.831 eV/atom
- Total moment: 0.000 μB/atom
- DOS at the Fermi energy: 17.9 states/eV/cell
- Volume: 218 Å³ per cell
- Energy of formation: -0.728 eV/atom

Lattice parameters (Å, degrees): 9.296 9.296 9.296 33.51 33.51 33.51
Atoms (fractional coordinates):
Ce 0.000 0.000 0.000
Ce 0.126 0.126 0.126
Ce 0.499 0.499 0.499
Zr 0.624 0.624 0.624
Ir 0.058 0.562 0.562
Ir 0.063 0.063 0.566
Ir 0.063 0.566 0.063
Ir 0.312 0.312 0.312
Ir 0.562 0.058 0.562
Ir 0.562 0.562 0.058
Ir 0.566 0.063 0.063
Ir 0.812 0.812 0.812



Ho3Er5O12 | GGA-PBE | relaxed

- Uncorrected formation energy: -3376 meV/atom
- Electronic total energy: -8.178 eV/atom
- Total moment: 0.000 μB/atom
- DOS at the Fermi energy: 0.0 states/eV/cell
- Volume: 1180 Å³ per cell

Lattice parameters (Å, degrees): 11.531 11.531 11.531 109.47 109.47 109.47
Atoms (fractional coordinates):
Ho 0.125 0.250 0.375
Ho 0.125 0.375 0.750
Ho 0.250 0.375 0.125
Ho 0.250 0.875 0.625
Ho 0.375 0.125 0.250
Ho 0.375 0.750 0.125
Ho 0.625 0.250 0.875
Ho 0.625 0.875 0.750
Ho 0.750 0.125 0.375
Ho 0.750 0.625 0.875
Ho 0.875 0.625 0.250
Ho 0.875 0.750 0.625
Er 0.000 0.000 0.000
Er 0.000 0.000 0.500
Er 0.000 0.500 0.000
Er 0.000 0.500 0.500
Er 0.125 0.750 0.875
Er 0.125 0.875 0.250
Er 0.250 0.125 0.875
Er 0.250 0.625 0.375
Er 0.375 0.250 0.625
Er 0.375 0.625 0.750
Er 0.500 0.000 0.000
Er 0.500 0.000 0.500
Er 0.500 0.500 0.000
Er 0.500 0.500 0.500
Er 0.625 0.375 0.250
Er 0.625 0.750 0.375
Er 0.750 0.375 0.625
Er 0.750 0.875 0.125
Er 0.875 0.125 0.750
Er 0.875 0.250 0.125
O 0.046 0.221 0.131
O 0.046 0.325 0.915
O 0.085 0.631 0.410
O 0.085 0.954 0.675
O 0.090 0.721 0.675
O 0.090 0.869 0.415
O 0.131 0.046 0.221
O 0.131 0.585 0.910
O 0.175 0.221 0.590
O 0.175 0.454 0.585
O 0.221 0.131 0.046
O 0.221 0.590 0.175
O 0.279 0.325 0.910
O 0.279 0.454 0.369
O 0.325 0.910 0.279
O 0.325 0.915 0.046
O 0.369 0.279 0.454
O 0.369 0.590 0.915
O 0.410 0.085 0.631
O 0.410 0.825 0.779
O 0.415 0.090 0.869
O 0.415 0.825 0.546
O 0.454 0.369 0.279
O 0.454 0.585 0.175
O 0.546 0.415 0.825
O 0.546 0.631 0.721
O 0.585 0.175 0.454
O 0.585 0.910 0.131
O 0.590 0.175 0.221
O 0.590 0.915 0.369
O 0.631 0.410 0.085
O 0.631 0.721 0.546
O 0.675 0.085 0.954
O 0.675 0.090 0.721
O 0.721 0.546 0.631
O 0.721 0.675 0.090
O 0.779 0.410 0.825
O 0.779 0.869 0.954
O 0.825 0.546 0.415
O 0.825 0.779 0.410
O 0.869 0.415 0.090
O 0.869 0.954 0.779
O 0.910 0.131 0.585
O 0.910 0.279 0.325
O 0.915 0.046 0.325
O 0.915 0.369 0.590
O 0.954 0.675 0.085
O 0.954 0.779 0.869



Sr2SmInSe5 | GGA-PBE | relaxed

- Uncorrected formation energy: -1589 meV/atom
- Electronic total energy: -4.728 eV/atom
- Total moment: 0.000 μB/atom
- Volume: 518 Å³ per cell

Lattice parameters (Å, degrees): 9.583 9.583 13.089 90.00 90.00 154.46
Atoms (fractional coordinates):
Sr 0.115 0.885 0.500
Sr 0.130 0.870 0.135
Sr 0.870 0.130 0.635
Sr 0.885 0.115 0.000
Sm 0.212 0.788 0.839
Sm 0.788 0.212 0.339
In 0.450 0.550 0.262
In 0.550 0.450 0.762
Se 0.049 0.951 0.881
Se 0.289 0.711 0.490
Se 0.314 0.686 0.183
Se 0.363 0.637 0.821
Se 0.494 0.506 0.585
Se 0.506 0.494 0.085
Se 0.637 0.363 0.321
Se 0.686 0.314 0.683
Se 0.711 0.289 0.990
Se 0.951 0.049 0.381



CaFeTe4 | GGA-PBE | relaxed

- Uncorrected formation energy: 414 meV/atom
- Electronic total energy: -3.424 eV/atom
- Total moment: 0.602 μB/atom
- DOS at the Fermi energy: 9.0 states/eV/cell
- Volume: 182 Å³ per cell

Lattice parameters (Å, degrees): 6.365 6.365 6.365 60.00 60.00 60.00
Atoms (fractional coordinates):
Ca 0.000 0.000 0.000
Fe 0.750 0.750 0.750
Te 0.376 0.376 0.376
Te 0.376 0.376 0.873
Te 0.376 0.873 0.376
Te 0.873 0.376 0.376



CeCoAgH6 | GGA-PBE | relaxed

- Electronic total energy: -4.187 eV/atom
- Total moment: 0.096 μB/atom
- DOS at the Fermi energy: 7.0 states/eV/cell
- Volume: 80 Å³ per cell

Lattice parameters (Å, degrees): 4.638 4.638 4.300 90.00 90.00 120.00
Atoms (fractional coordinates):
Ce 0.000 0.000 0.000
Co 0.333 0.667 0.500
Ag 0.667 0.333 0.500
H 0.052 0.526 0.236
H 0.052 0.526 0.764
H 0.474 0.526 0.236
H 0.474 0.526 0.764
H 0.474 0.948 0.236
H 0.474 0.948 0.764



TbNd2Ag5 | GGA-PBE | relaxed

- Electronic total energy: -3.759 eV/atom
- Total moment: 0.000 μB/atom
- DOS at the Fermi energy: 6.0 states/eV/cell
- Volume: 191 Å³ per cell
- Energy of formation: -0.206 eV/atom

Lattice parameters (Å, degrees): 8.084 8.084 8.084 142.88 142.88 53.50
Atoms (fractional coordinates):
Tb 0.000 0.000 0.000
Nd 0.270 0.270 0.000
Nd 0.730 0.730 0.000
Ag 0.112 0.612 0.500
Ag 0.388 0.888 0.500
Ag 0.500 0.500 0.000
Ag 0.612 0.112 0.500
Ag 0.888 0.388 0.500



ErPS4Br | GGA-PBE | relaxed

- Uncorrected formation energy: -739 meV/atom
- Electronic total energy: -4.761 eV/atom
- Total moment: 0.000 μB/atom
- DOS at the Fermi energy: 3.9 states/eV/cell
- Volume: 403 Å³ per cell

Lattice parameters (Å, degrees): 6.850 6.850 8.843 96.11 96.11 78.88
Atoms (fractional coordinates):
Er 0.194 0.194 0.059
Er 0.806 0.806 0.941
P 0.392 0.392 0.761
P 0.608 0.608 0.239
S 0.154 0.511 0.893
S 0.308 0.308 0.545
S 0.423 0.423 0.275
S 0.489 0.846 0.107
S 0.511 0.154 0.893
S 0.577 0.577 0.725
S 0.692 0.692 0.455
S 0.846 0.489 0.107
Br 0.018 0.018 0.789
Br 0.982 0.982 0.211



PmPuTlIr | GGA-PBE | relaxed

- Electronic total energy: -7.780 eV/atom
- Total moment: 1.400 μB/atom
- DOS at the Fermi energy: 8.4 states/eV/cell
- Volume: 98 Å³ per cell
- Energy of formation: -0.203 eV/atom

Lattice parameters (Å, degrees): 5.172 5.172 5.172 60.00 60.00 60.00
Atoms (fractional coordinates):
Pm 0.000 0.000 0.000
Pu 0.500 0.500 0.500
Tl 0.750 0.750 0.750
Ir 0.250 0.250 0.250



Zr2SiHgPd | GGA-PBE | relaxed

- Uncorrected formation energy: 341 meV/atom
- Electronic total energy: -5.262 eV/atom
- Total moment: 0.000 μB/atom
- DOS at the Fermi energy: 1.2 states/eV/cell
- Volume: 115 Å³ per cell

Lattice parameters (Å, degrees): 4.958 4.958 4.674 90.00 90.00 90.00
Atoms (fractional coordinates):
Zr 0.000 0.500 0.000
Zr 0.500 0.000 0.000
Si 0.000 0.000 0.000
Hg 0.000 0.000 0.500
Pd 0.500 0.500 0.500



PmEr2Cd | GGA-PBE | relaxed

- Polymorph energy (0 for the lowest one): 3 meV per atom
- Electronic total energy: -3.845 eV/atom
- Total moment: 0.000 μB/atom
- DOS at the Fermi energy: 4.3 states/eV/cell
- Volume: 118 Å³ per cell
- Energy of formation: -0.147 eV/atom

Lattice parameters (Å, degrees): 6.594 6.594 6.594 146.73 130.98 60.54
Atoms (fractional coordinates):
Pm 0.000 0.000 0.000
Er 0.276 0.776 0.500
Er 0.724 0.224 0.500
Cd 0.500 0.500 0.000



CeDyInAu | GGA-PBE | relaxed

- Electronic total energy: -4.625 eV/atom
- Total moment: 0.307 μB/atom
- DOS at the Fermi energy: 10.6 states/eV/cell
- Volume: 105 Å³ per cell
- Energy of formation: -0.487 eV/atom

Lattice parameters (Å, degrees): 5.302 5.302 5.302 60.00 60.00 60.00
Atoms (fractional coordinates):
Ce 0.000 0.000 0.000
Dy 0.500 0.500 0.500
In 0.250 0.250 0.250
Au 0.750 0.750 0.750



Ca2SmCd12Ag3 | GGA-PBE | relaxed

- Electronic total energy: -1.508 eV/atom
- Total moment: 0.000 μB/atom
- DOS at the Fermi energy: 8.5 states/eV/cell
- Volume: 496 Å³ per cell
- Energy of formation: 0.062 eV/atom

Lattice parameters (Å, degrees): 8.740 8.740 8.740 62.28 62.28 62.28
Atoms (fractional coordinates):
Ca 0.082 0.082 0.082
Ca 0.918 0.918 0.918
Sm 0.500 0.500 0.500
Cd 0.041 0.677 0.677
Cd 0.247 0.247 0.677
Cd 0.247 0.677 0.247
Cd 0.323 0.323 0.959
Cd 0.323 0.753 0.753
Cd 0.323 0.959 0.323
Cd 0.677 0.041 0.677
Cd 0.677 0.247 0.247
Cd 0.677 0.677 0.041
Cd 0.753 0.323 0.753
Cd 0.753 0.753 0.323
Cd 0.959 0.323 0.323
Ag 0.000 0.500 0.500
Ag 0.500 0.000 0.500
Ag 0.500 0.500 0.000



> What is the formula in the fifth record?

CeCoAgH6



> Which of these has the highest volume?

Ho3Er5O12



> Number 12 is which compound?

Ca2SmCd12Ag3



> The highest volume belongs to which entry?

Ho3Er5O12